*a*
Here is a relaxed structure of Ac2CoHg from Alexandria. Energies are from PBE.

The structure in POSCAR format:
```
Ac2CoHg
1.0
3.7610 0.0000 0.0000
0.0000 3.7610 0.0000
0.0000 0.0000 8.1914
Ac Co Hg
2 1 1
direct
0.0000 0.0000 0.2198
0.0000 0.0000 0.7802
0.5000 0.5000 0.0000
0.5000 0.5000 0.5000
```

Summary:
Its crystal system is tetragonal. The space group is P4/mmm, No. 123.

*b*
Here is a relaxed structure of Ac2CoHg from Alexandria. Energies are from PBE.

The structure in POSCAR format:
```
Ac2CoHg
1.0
0.0000 3.8862 3.8862
3.8862 0.0000 3.8862
3.8862 3.8862 0.0000
Ac Co Hg
2 1 1
direct
0.2500 0.2500 0.2500
0.7500 0.7500 0.7500
0.0000 0.0000 0.0000
0.5000 0.5000 0.5000
```

Summary:
Its crystal system is cubic. The space group is Fm-3m, No. 225.

*c*
Here is a relaxed structure of Ac2CoHg from Alexandria. Energies are from PBE.

The structure in POSCAR format:
```
Ac2CoHg
1.0
7.6012 0.0000 0.0000
0.0000 5.6316 0.0000
0.0000 0.0000 11.4479
Ac Co Hg
8 4 4
direct
0.0539 0.2500 0.2240
0.1691 0.2500 0.5659
0.3309 0.7500 0.0659
0.4461 0.7500 0.7240
0.5539 0.2500 0.2760
0.6691 0.2500 0.9341
0.8309 0.7500 0.4341
0.9461 0.7500 0.7760
0.1620 0.7500 0.5821
0.3380 0.2500 0.0821
0.6620 0.7500 0.9179
0.8380 0.2500 0.4179
0.1745 0.2500 0.8774
0.3255 0.7500 0.3774
0.6745 0.2500 0.6226
0.8255 0.7500 0.1226
```

Summary:
Its crystal system is orthorhombic. The space group is Pnma, No. 62.

Which of them is the most stable, and which is the least stable? *c* and *b*, in that order.

*a*
Here is a relaxed structure of Ac6Co2Hg from Alexandria. Energies are from PBE.

The structure in POSCAR format:
```
Ac6Co2Hg
1.0
6.6247 -2.1069 0.0000
6.6247 2.1069 0.0000
-3.5673 0.0000 11.8686
Ac Co Hg
6 2 1
direct
0.0307 0.0307 0.2782
0.2966 0.2966 0.8772
0.3343 0.3343 0.4228
0.6657 0.6657 0.5772
0.7034 0.7034 0.1228
0.9693 0.9693 0.7218
0.3205 0.3205 0.6593
0.6795 0.6795 0.3407
0.0000 0.0000 0.0000
```

Summary:
Its crystal system is monoclinic. The space group is C2/m, No. 12.

*b*
Here is a relaxed structure of Ac6Co2Hg from Alexandria. Energies are from PBE.

The structure in POSCAR format:
```
Ac6Co2Hg
1.0
-5.0780 5.3958 5.4254
5.0780 -5.3958 5.4254
5.0780 5.3958 -5.4254
Ac Co Hg
12 4 2
direct
0.0269 0.2268 0.8001
0.1781 0.2905 0.4686
0.1781 0.7095 0.8876
0.3273 0.0104 0.6831
0.3273 0.6442 0.3169
0.4268 0.2268 0.1999
0.5732 0.7732 0.8001
0.6727 0.3558 0.6831
0.6727 0.9896 0.3169
0.8219 0.2905 0.1124
0.8219 0.7095 0.5314
0.9731 0.7732 0.1999
0.1081 0.6081 0.5000
0.3426 0.0000 0.3426
0.6574 0.0000 0.6574
0.8919 0.3919 0.5000
0.0000 0.0000 0.0000
0.5000 0.5000 0.0000
```

Summary:
Its crystal system is orthorhombic. The space group is Immm, No. 71.

Which of them is the most stable, and which is the least stable? *b* and *a*, in that order.

*a*
Here is a relaxed structure of Ac3CoHg2 from Alexandria. Energies are from PBE.

The structure in POSCAR format:
```
Ac3CoHg2
1.0
7.8454 0.0000 0.0000
0.0000 14.9579 0.0000
0.0000 0.0000 6.4073
Ac Co Hg
12 4 8
direct
0.0388 0.1130 0.1738
0.0388 0.3870 0.1738
0.0906 0.7500 0.3523
0.4094 0.2500 0.8523
0.4612 0.6130 0.6738
0.4612 0.8870 0.6738
0.5388 0.1130 0.3262
0.5388 0.3870 0.3262
0.5906 0.7500 0.1477
0.9094 0.2500 0.6477
0.9612 0.6130 0.8262
0.9612 0.8870 0.8262
0.2253 0.7500 0.7996
0.2747 0.2500 0.2996
0.7253 0.7500 0.7004
0.7747 0.2500 0.2004
0.1903 0.0717 0.6630
0.1903 0.4283 0.6630
0.3097 0.5717 0.1630
0.3097 0.9283 0.1630
0.6903 0.0717 0.8370
0.6903 0.4283 0.8370
0.8097 0.5717 0.3370
0.8097 0.9283 0.3370
```

Summary:
Its crystal system is orthorhombic. The space group is Pnma, No. 62.

*b*
Here is a relaxed structure of Ac3CoHg2 from Alexandria. Energies are from PBE.

The structure in POSCAR format:
```
Ac3CoHg2
1.0
7.9994 -3.1224 0.0000
7.9994 3.1224 0.0000
-2.1011 0.0000 7.9330
Ac Co Hg
6 2 4
direct
0.0002 0.9998 0.2500
0.9998 0.0002 0.7500
0.3720 0.3723 0.4364
0.3723 0.3720 0.9364
0.6277 0.6280 0.0636
0.6280 0.6277 0.5636
0.4987 0.5013 0.7500
0.5013 0.4987 0.2500
0.1921 0.1925 0.0964
0.1925 0.1921 0.5964
0.8075 0.8079 0.4036
0.8079 0.8075 0.9036
```

Summary:
Its crystal system is monoclinic. The space group is C2/c, No. 15.

Which of them is the most stable, and which is the least stable? *a* and *b*, in that order.

*a*
Here is a relaxed structure of AcHoCo from Alexandria. Energies are from PBE.

The structure in POSCAR format:
```
AcHoCo
1.0
3.5932 -2.0784 0.0000
3.5932 2.0784 0.0000
-2.3988 0.0000 11.9871
Ac Ho Co
2 2 2
direct
0.1142 0.1142 0.3429
0.8858 0.8858 0.6571
0.2968 0.2968 0.8918
0.7032 0.7032 0.1082
0.4043 0.4043 0.2112
0.5957 0.5957 0.7888
```

Summary:
Its crystal system is monoclinic. The space group is C2/m, No. 12.

*b*
Here is a relaxed structure of AcHoCo from Alexandria. Energies are from PBE.

The structure in POSCAR format:
```
AcHoCo
1.0
-1.7667 1.7667 6.5795
1.7667 -1.7667 6.5795
1.7667 1.7667 -6.5795
Ac Ho Co
1 1 1
direct
0.0000 0.0000 0.0000
0.2551 0.2551 0.0000
0.6451 0.6451 0.0000
```

Summary:
Its crystal system is tetragonal. The space group is I4mm, No. 107.

Which of them is the most stable, and which is the least stable? *a* and *b*, in that order.

*a*
Here is a relaxed structure of Ac3CoI from Alexandria. Energies are from PBE.

The structure in POSCAR format:
```
Ac3CoI
1.0
6.5877 -7.8874 0.0000
6.5877 7.8874 0.0000
-0.6594 0.0000 7.1710
Ac Co I
12 4 4
direct
0.0581 0.7255 0.9308
0.1835 0.5702 0.4046
0.2745 0.9419 0.5692
0.3093 0.4516 0.8999
0.4298 0.8165 0.0954
0.4516 0.3093 0.3999
0.5484 0.6907 0.6001
0.5702 0.1835 0.9046
0.6907 0.5484 0.1001
0.7255 0.0581 0.4308
0.8165 0.4298 0.5954
0.9419 0.2745 0.0692
0.2880 0.7120 0.7500
0.4333 0.5667 0.2500
0.5667 0.4333 0.7500
0.7120 0.2880 0.2500
0.0816 0.2119 0.5452
0.2119 0.0816 0.0452
0.7881 0.9184 0.9548
0.9184 0.7881 0.4548
```

Summary:
Its crystal system is monoclinic. The space group is C2/c, No. 15.

*b*
Here is a relaxed structure of Ac3CoI from Alexandria. Energies are from PBE.

The structure in POSCAR format:
```
Ac3CoI
1.0
5.7154 0.0000 0.0000
0.0000 5.7154 0.0000
0.0000 0.0000 5.7154
Ac Co I
3 1 1
direct
0.0000 0.0000 0.5000
0.0000 0.5000 0.0000
0.5000 0.0000 0.0000
0.0000 0.0000 0.0000
0.5000 0.5000 0.5000
```

Summary:
Its crystal system is cubic. The space group is Pm-3m, No. 221.

Which of them is the most stable, and which is the least stable? *a* and *b*, in that order.

*a*
Here is a relaxed structure of Ac2CoI from Alexandria. Energies are from PBE.

The structure in POSCAR format:
```
Ac2CoI
1.0
3.9227 -8.8898 0.0000
3.9227 8.8898 0.0000
-0.0361 0.0000 4.1458
Ac Co I
4 2 2
direct
0.1525 0.3463 0.2191
0.3463 0.1525 0.7191
0.6537 0.8475 0.2809
0.8475 0.6537 0.7809
0.0250 0.9750 0.2500
0.9750 0.0250 0.7500
0.2701 0.7299 0.7500
0.7299 0.2701 0.2500
```

Summary:
Its crystal system is monoclinic. The space group is C2/c, No. 15.

*b*
Here is a relaxed structure of Ac2CoI from Alexandria. Energies are from PBE.

The structure in POSCAR format:
```
Ac2CoI
1.0
3.7331 0.0000 0.0000
0.0000 3.7331 0.0000
0.0000 0.0000 8.9027
Ac Co I
2 1 1
direct
0.0000 0.0000 0.2004
0.0000 0.0000 0.7996
0.5000 0.5000 0.0000
0.5000 0.5000 0.5000
```

Summary:
Its crystal system is tetragonal. The space group is P4/mmm, No. 123.

Which of them is the most stable, and which is the least stable? *a* and *b*, in that order.